The following is a DFT calculation (GGA-PBE) of crystalline BaSrH3 at its relaxed geometry.

As for the excess energy over the best structure of this formula in the dataset: 0.328 eV/atom.

It has space group Pm-3m (No. 221), with a = 4.9382 Å, b = 4.9382 Å, c = 4.9382 Å, α = 90.00°, β = 90.00° and γ = 90.00°. The inequivalent atoms are Ba at (0.0000, 0.0000, 0.0000), Sr at (0.5000, 0.5000, 0.5000) and H at (0.0000, 0.0000, 0.5000).


The following is a DFT calculation (GGA-PBE) of crystalline NbSi3N at its relaxed geometry.

As for the excess energy over the best structure of this formula in the dataset: 1.250 eV/atom. The calculation puts the uncorrected formation energy at 1.59 eV per atom.

It has space group Pm-3m (No. 221), with a = 4.9060 Å, b = 4.9060 Å, c = 4.9060 Å, α = 90.00°, β = 90.00° and γ = 90.00°. The inequivalent atoms are Nb at (0.0000, 0.0000, 0.0000), Si at (0.0000, 0.0000, 0.5000) and N at (0.5000, 0.5000, 0.5000).


The following is a DFT calculation (GGA-PBE) of crystalline PrSm3Tm6Th2 at its relaxed geometry.

The calculation puts the energy of formation from the pure elements at 0.029 eV per atom.

It has space group C2/m (No. 12), with a = 6.1882 Å, b = 10.7148 Å, c = 11.6523 Å, α = 90.00°, β = 100.22° and γ = 90.00°. The inequivalent atoms are Pr at (0.0000, 0.0000, 0.0000), Sm at (0.0000, 0.1661, 0.5000), Sm at (0.0000, 0.5000, 0.5000), Tm at (0.2441, 0.5000, 0.2472), Tm at (0.2483, 0.3308, 0.7529) and Th at (0.0000, 0.3334, 0.0000).


The following is a DFT calculation (GGA-PBE) of crystalline Ba4Mn at its relaxed geometry.

As for the excess energy over the best structure of this formula in the dataset: 0.137 eV/atom. The calculation puts the energy of formation from the pure elements at 0.465 eV per atom.

It has space group Im-3m (No. 229), with a = 8.1493 Å, b = 8.1493 Å, c = 8.1493 Å, α = 90.00°, β = 90.00° and γ = 90.00°. The inequivalent atoms are Ba at (0.2500, 0.2500, 0.2500) and Mn at (0.0000, 0.0000, 0.0000).


The following is a DFT calculation (GGA-PBE) of crystalline VCoN at its relaxed geometry.

As for the excess energy over the best structure of this formula in the dataset: 0.475 eV/atom. The calculation puts the uncorrected formation energy at 0.38 eV per atom.

It has space group I4mm (No. 107), with a = 3.1336 Å, b = 3.1336 Å, c = 6.1086 Å, α = 90.00°, β = 90.00° and γ = 90.00°. The inequivalent atoms are V at (0.0000, 0.0000, 0.0000), Co at (0.0000, 0.0000, 0.6397) and N at (0.0000, 0.0000, 0.3207).


The following is a DFT calculation (GGA-PBE) of crystalline HfTeOsI2 at its relaxed geometry.

As for the excess energy over the best structure of this formula in the dataset: 0.000 eV/atom. The calculation puts the uncorrected formation energy at 1.02 eV per atom.

It has space group P4/mmm (No. 123), with a = 5.2506 Å, b = 5.2506 Å, c = 5.2387 Å, α = 90.00°, β = 90.00° and γ = 90.00°. The inequivalent atoms are Hf at (0.0000, 0.0000, 0.0000), Te at (0.5000, 0.5000, 0.0000), Os at (0.5000, 0.5000, 0.5000) and I at (0.0000, 0.5000, 0.5000).


Fermi-level density of states list, top to bottom, in states/eV per cell: 1.16, 2.30, 30.52, 15.28, 3.99, 5.74
DFT total energy list, top to bottom, in eV per atom: -2.843, -5.345, -5.021, -2.907, -7.804, -4.466